1.
! Nd5Pb3 PBE relaxed; values from VASP
&SYSTEM
  ibrav = 0, nat = 16, ntyp = 2
/
ATOMIC_SPECIES
Nd 144.24 Nd.upf
Pb 207.20 Pb.upf
CELL_PARAMETERS angstrom
-5.143 -1.329 6.661
-1.329 -7.996 -2.621
8.842 2.456 1.869
ATOMIC_POSITIONS angstrom
Nd 0.000 0.000 0.000
Nd -3.236 -4.663 2.020
Nd 3.549 0.966 4.674
Nd 4.288 -4.050 0.762
Nd 1.956 -3.272 4.565
Nd 5.880 0.188 0.871
Nd -1.178 -7.835 1.234
Nd -1.918 -2.819 5.147
Nd 0.414 -3.597 1.343
Nd -3.510 -7.057 5.037
Pb -0.433 -5.766 3.964
Pb 2.803 -1.103 1.944
Pb -1.577 -5.312 -0.741
Pb -4.895 -4.013 4.781
Pb -2.034 -1.604 2.022
Pb -4.438 -7.721 2.017
! * total moment: 0.23 μB per atom
! * distance to the lowest polymorph of the same formula: 0.050 eV per atom
! * crystal system: tetragonal
! * calculated formation energy: -0.490 eV/atom

=====

2.
! Nd4Pb PBE relaxed; values from VASP
&SYSTEM
  ibrav = 0, nat = 10, ntyp = 2
/
ATOMIC_SPECIES
Nd 144.24 Nd.upf
Pb 207.20 Pb.upf
CELL_PARAMETERS angstrom
5.238 0.000 -1.530
-0.774 6.369 -2.652
-0.068 0.163 9.500
ATOMIC_POSITIONS angstrom
Nd 0.246 2.271 0.841
Nd 4.150 4.261 4.477
Nd 2.619 0.000 -0.765
Nd 2.232 3.185 -2.091
Nd 3.492 1.275 2.224
Nd 0.904 5.257 3.094
Nd 1.306 1.944 4.473
Nd 3.089 4.588 0.845
Pb 4.506 1.029 5.696
Pb -0.110 5.504 -0.378
! * total moment: 0.00 μB per atom
! * distance to the lowest polymorph of the same formula: 0.000 eV per atom
! * crystal system: orthorhombic
! * calculated formation energy: -0.165 eV/atom

=====

3.
! NdPb5 PBE relaxed; values from VASP
&SYSTEM
  ibrav = 0, nat = 6, ntyp = 2
/
ATOMIC_SPECIES
Pb 207.20 Pb.upf
Nd 144.24 Nd.upf
CELL_PARAMETERS angstrom
-3.124 1.071 3.429
-0.207 -4.686 1.275
6.103 3.469 4.475
ATOMIC_POSITIONS angstrom
Pb 2.301 -1.063 5.732
Pb 1.807 -1.984 2.266
Pb -1.665 -1.807 2.352
Pb 4.089 0.768 3.484
Pb 0.472 0.917 3.448
Nd 0.000 0.000 0.000
! * total moment: 0.00 μB per atom
! * crystal system: orthorhombic
! * calculated formation energy: -0.199 eV/atom

=====

Question: What is the formula in the second record?
Answer: Nd4Pb